A plane-wave DFT calculation with PBE-GGA was carried out for an optimized crystal structure of Na2Pr4Cl9O2.

Output
As for the uncorrected energy: -177.0 eV for the cell shown.

```
data_Na2Pr4Cl9O2
_chemical_formula_sum 'Na4 Pr8 Cl18 O4'
_symmetry_space_group_name_H-M 'P 1 21/m 1'
_symmetry_Int_Tables_number 11
_cell_length_a 8.244
_cell_length_b 11.530
_cell_length_c 9.338
_cell_angle_alpha 90.00
_cell_angle_beta 106.89
_cell_angle_gamma 90.00
loop_
_symmetry_equiv_pos_as_xyz
'x,y,z'
'-x,-y,-z'
'-x,y+1/2,-z'
'x,-y+1/2,z'
loop_
_atom_site_label
_atom_site_fract_x
_atom_site_fract_y
_atom_site_fract_z
Na1 0.227 0.016 0.432
Pr1 0.278 0.547 0.952
Pr2 0.370 0.250 0.780
Pr3 0.389 0.250 0.165
Cl1 0.097 0.081 0.684
Cl2 0.105 0.095 0.122
Cl3 0.239 0.750 0.751
Cl4 0.260 0.750 0.140
Cl5 0.324 0.250 0.459
Cl6 0.500 0.003 0.300
O1 0.447 0.120 0.986
```